[1]
Below is crystalline TiPdPbO4 at its relaxed geometry, with properties calculated at the PBE level.

Calculated values
- raw formation energy (meV/atom) = -1616.2
- E (eV per atom) = -6.849

Cell and atoms, written as POSCAR:
```
TiPdPbO4
1.0
-2.958 3.009 5.623
2.958 -3.009 5.623
2.958 3.009 -5.623
Ti Pd Pb O
2 2 2 8
Direct
0.500 0.000 0.000
0.500 0.500 0.500
0.000 0.000 0.000
0.500 0.000 0.500
0.154 0.404 0.750
0.846 0.596 0.250
0.275 0.737 0.539
0.302 0.263 0.039
0.314 0.279 0.465
0.314 0.850 0.035
0.686 0.150 0.965
0.686 0.721 0.535
0.698 0.737 0.961
0.725 0.263 0.461
```

[2]
Below is crystalline Tm2PdPbO5 at its relaxed geometry, with properties calculated at the PBE level.

Calculated values
- raw formation energy (meV/atom) = -2266.4
- E (eV per atom) = -7.004

Cell and atoms, written as POSCAR:
```
Tm2PdPbO5
1.0
6.437 0.000 0.000
0.000 6.437 0.000
0.000 0.000 5.849
Tm Pd Pb O
4 2 2 10
Direct
0.173 0.327 0.000
0.327 0.827 0.000
0.673 0.173 0.000
0.827 0.673 0.000
0.000 0.500 0.500
0.500 0.000 0.500
0.000 0.000 0.500
0.500 0.500 0.500
0.000 0.000 0.000
0.141 0.641 0.236
0.141 0.641 0.764
0.359 0.141 0.236
0.359 0.141 0.764
0.500 0.500 0.000
0.641 0.859 0.236
0.641 0.859 0.764
0.859 0.359 0.236
0.859 0.359 0.764
```

[3]
Below is crystalline UPdPb2O6 at its relaxed geometry, with properties calculated at the PBE level.

Calculated values
- raw formation energy (meV/atom) = -1765.9
- E (eV per atom) = -7.131

Cell and atoms, written as POSCAR:
```
UPdPb2O6
1.0
5.632 -2.869 0.000
5.632 2.869 0.000
-1.732 0.000 4.873
U Pd Pb O
1 1 2 6
Direct
0.000 0.000 0.000
0.500 0.500 0.500
0.264 0.264 0.785
0.736 0.736 0.215
0.169 0.169 0.282
0.177 0.662 0.203
0.338 0.823 0.797
0.662 0.177 0.203
0.823 0.338 0.797
0.831 0.831 0.718
```

Question: Which of these has the lowest raw formation energy?
Answer: Tm2PdPbO5

Question: raw formation energy of number 2 (Tm2PdPbO5)?
Answer: -2266.4 meV/atom

Question: Among the records above, which one has the lowest E?
Answer: UPdPb2O6

What did the first record say?
Below is crystalline TiPdPbO4 at its relaxed geometry, with properties calculated at the PBE level.

Calculated values
- raw formation energy (meV/atom) = -1616.2
- E (eV per atom) = -6.849

Cell and atoms, written as POSCAR:
```
TiPdPbO4
1.0
-2.958 3.009 5.623
2.958 -3.009 5.623
2.958 3.009 -5.623
Ti Pd Pb O
2 2 2 8
Direct
0.500 0.000 0.000
0.500 0.500 0.500
0.000 0.000 0.000
0.500 0.000 0.500
0.154 0.404 0.750
0.846 0.596 0.250
0.275 0.737 0.539
0.302 0.263 0.039
0.314 0.279 0.465
0.314 0.850 0.035
0.686 0.150 0.965
0.686 0.721 0.535
0.698 0.737 0.961
0.725 0.263 0.461
```